# CuP2RhCl | the Alexandria database | PBE | optimized geometry
data_CuP2RhCl
_symmetry_space_group_name_H-M 'P 4/m m m'
_symmetry_Int_Tables_number 123
_symmetry_space_group_name_Hall '-P 4 2'
_cell_length_a 4.380
_cell_length_b 4.380
_cell_length_c 4.708
_cell_angle_alpha 90.00
_cell_angle_beta 90.00
_cell_angle_gamma 90.00
loop_
_atom_site_label
_atom_site_type_symbol
_atom_site_fract_x
_atom_site_fract_y
_atom_site_fract_z
Cu1 Cu 0.000 0.000 0.000
P1 P 0.000 0.500 0.000
Rh1 Rh 0.500 0.500 0.500
Cl1 Cl 0.000 0.000 0.500
# **ΔE_f (raw)**: 89 kJ/mol of atoms
# **ρ**: 4.85 g cm⁻³
# **Fermi-level density of states**: 0.5682 states/eV/atom


# CuPRhCl2 | the Alexandria database | PBE | optimized geometry
data_CuPRhCl2
_symmetry_space_group_name_H-M 'P 4/m m m'
_symmetry_Int_Tables_number 123
_symmetry_space_group_name_Hall '-P 4 2'
_cell_length_a 4.592
_cell_length_b 4.592
_cell_length_c 4.634
_cell_angle_alpha 90.00
_cell_angle_beta 90.00
_cell_angle_gamma 90.00
loop_
_atom_site_label
_atom_site_type_symbol
_atom_site_fract_x
_atom_site_fract_y
_atom_site_fract_z
Cu1 Cu 0.000 0.000 0.000
P1 P 0.000 0.000 0.500
Rh1 Rh 0.500 0.500 0.500
Cl1 Cl 0.000 0.500 0.000
# **ΔE_f (raw)**: 74 kJ/mol of atoms
# **ρ**: 4.56 g cm⁻³
# **Fermi-level density of states**: 1.6024 states/eV/atom


# CuPRhCl2 | the Alexandria database | PBE | optimized geometry
data_CuPRhCl2
_symmetry_space_group_name_H-M 'P 4/m m m'
_symmetry_Int_Tables_number 123
_symmetry_space_group_name_Hall '-P 4 2'
_cell_length_a 5.019
_cell_length_b 5.019
_cell_length_c 4.393
_cell_angle_alpha 90.00
_cell_angle_beta 90.00
_cell_angle_gamma 90.00
loop_
_atom_site_label
_atom_site_type_symbol
_atom_site_fract_x
_atom_site_fract_y
_atom_site_fract_z
Cu1 Cu 0.000 0.000 0.000
P1 P 0.500 0.500 0.000
Rh1 Rh 0.500 0.500 0.500
Cl1 Cl 0.000 0.500 0.500
# **ΔE_f (raw)**: 37 kJ/mol of atoms
# **ρ**: 4.03 g cm⁻³
# **Fermi-level density of states**: 0.4137 states/eV/atom


# CuP2RuCl | the Alexandria database | PBE | optimized geometry
data_CuP2RuCl
_symmetry_space_group_name_H-M 'P 4/m m m'
_symmetry_Int_Tables_number 123
_symmetry_space_group_name_Hall '-P 4 2'
_cell_length_a 4.480
_cell_length_b 4.480
_cell_length_c 5.129
_cell_angle_alpha 90.00
_cell_angle_beta 90.00
_cell_angle_gamma 90.00
loop_
_atom_site_label
_atom_site_type_symbol
_atom_site_fract_x
_atom_site_fract_y
_atom_site_fract_z
Cu1 Cu 0.000 0.000 0.000
P1 P 0.000 0.500 0.500
Ru1 Ru 0.500 0.500 0.500
Cl1 Cl 0.500 0.500 0.000
# **ΔE_f (raw)**: 59 kJ/mol of atoms
# **ρ**: 4.23 g cm⁻³
# **Fermi-level density of states**: 0.5748 states/eV/atom


# CuP2RuCl | the Alexandria database | PBE | optimized geometry
data_CuP2RuCl
_symmetry_space_group_name_H-M 'P 4/m m m'
_symmetry_Int_Tables_number 123
_symmetry_space_group_name_Hall '-P 4 2'
_cell_length_a 4.408
_cell_length_b 4.408
_cell_length_c 4.726
_cell_angle_alpha 90.00
_cell_angle_beta 90.00
_cell_angle_gamma 90.00
loop_
_atom_site_label
_atom_site_type_symbol
_atom_site_fract_x
_atom_site_fract_y
_atom_site_fract_z
Cu1 Cu 0.000 0.000 0.000
P1 P 0.000 0.500 0.000
Ru1 Ru 0.500 0.500 0.500
Cl1 Cl 0.000 0.000 0.500
# **ΔE_f (raw)**: 107 kJ/mol of atoms
# **ρ**: 4.74 g cm⁻³
# **Fermi-level density of states**: 0.7595 states/eV/atom


# CuPS2Cl | the Alexandria database | PBE | optimized geometry
data_CuPS2Cl
_symmetry_space_group_name_H-M 'P 4/m m m'
_symmetry_Int_Tables_number 123
_symmetry_space_group_name_Hall '-P 4 2'
_cell_length_a 4.475
_cell_length_b 4.475
_cell_length_c 4.843
_cell_angle_alpha 90.00
_cell_angle_beta 90.00
_cell_angle_gamma 90.00
loop_
_atom_site_label
_atom_site_type_symbol
_atom_site_fract_x
_atom_site_fract_y
_atom_site_fract_z
Cu1 Cu 0.000 0.000 0.000
P1 P 0.500 0.500 0.500
S1 S 0.000 0.500 0.500
Cl1 Cl 0.500 0.500 0.000
# **ΔE_f (raw)**: 51 kJ/mol of atoms
# **ρ**: 3.32 g cm⁻³
# **Fermi-level density of states**: 0.3636 states/eV/atom


# CuPS2Cl | the Alexandria database | PBE | optimized geometry
data_CuPS2Cl
_symmetry_space_group_name_H-M 'P 4/m m m'
_symmetry_Int_Tables_number 123
_symmetry_space_group_name_Hall '-P 4 2'
_cell_length_a 4.372
_cell_length_b 4.372
_cell_length_c 5.081
_cell_angle_alpha 90.00
_cell_angle_beta 90.00
_cell_angle_gamma 90.00
loop_
_atom_site_label
_atom_site_type_symbol
_atom_site_fract_x
_atom_site_fract_y
_atom_site_fract_z
Cu1 Cu 0.000 0.000 0.000
P1 P 0.000 0.000 0.500
S1 S 0.000 0.500 0.000
Cl1 Cl 0.500 0.500 0.500
# **ΔE_f (raw)**: 78 kJ/mol of atoms
# **ρ**: 3.32 g cm⁻³
# **Fermi-level density of states**: 0.8283 states/eV/atom


# CuPS2Cl | the Alexandria database | PBE | optimized geometry
data_CuPS2Cl
_symmetry_space_group_name_H-M 'P 4/m m m'
_symmetry_Int_Tables_number 123
_symmetry_space_group_name_Hall '-P 4 2'
_cell_length_a 4.564
_cell_length_b 4.564
_cell_length_c 4.775
_cell_angle_alpha 90.00
_cell_angle_beta 90.00
_cell_angle_gamma 90.00
loop_
_atom_site_label
_atom_site_type_symbol
_atom_site_fract_x
_atom_site_fract_y
_atom_site_fract_z
Cu1 Cu 0.000 0.000 0.000
P1 P 0.500 0.500 0.000
S1 S 0.000 0.500 0.500
Cl1 Cl 0.500 0.500 0.500
# **ΔE_f (raw)**: 140 kJ/mol of atoms
# **ρ**: 3.24 g cm⁻³
# **Fermi-level density of states**: 1.0866 states/eV/atom


# CuPS2Cl | the Alexandria database | PBE | optimized geometry
data_CuPS2Cl
_symmetry_space_group_name_H-M 'P 4/m m m'
_symmetry_Int_Tables_number 123
_symmetry_space_group_name_Hall '-P 4 2'
_cell_length_a 4.601
_cell_length_b 4.601
_cell_length_c 4.391
_cell_angle_alpha 90.00
_cell_angle_beta 90.00
_cell_angle_gamma 90.00
loop_
_atom_site_label
_atom_site_type_symbol
_atom_site_fract_x
_atom_site_fract_y
_atom_site_fract_z
Cu1 Cu 0.000 0.000 0.000
P1 P 0.500 0.500 0.500
S1 S 0.000 0.500 0.000
Cl1 Cl 0.000 0.000 0.500
# **ΔE_f (raw)**: 69 kJ/mol of atoms
# **ρ**: 3.47 g cm⁻³
# **Fermi-level density of states**: 0.4345 states/eV/atom


# ScCuP2Cl | the Alexandria database | PBE | optimized geometry
data_ScCuP2Cl
_symmetry_space_group_name_H-M 'P 4/m m m'
_symmetry_Int_Tables_number 123
_symmetry_space_group_name_Hall '-P 4 2'
_cell_length_a 4.373
_cell_length_b 4.373
_cell_length_c 5.067
_cell_angle_alpha 90.00
_cell_angle_beta 90.00
_cell_angle_gamma 90.00
loop_
_atom_site_label
_atom_site_type_symbol
_atom_site_fract_x
_atom_site_fract_y
_atom_site_fract_z
Sc1 Sc 0.000 0.000 0.000
Cu1 Cu 0.500 0.500 0.500
P1 P 0.000 0.500 0.500
Cl1 Cl 0.500 0.500 0.000
# **ΔE_f (raw)**: 3 kJ/mol of atoms
# **ρ**: 3.53 g cm⁻³
# **Fermi-level density of states**: 0.4706 states/eV/atom


# ScCuP2Cl | the Alexandria database | PBE | optimized geometry
data_ScCuP2Cl
_symmetry_space_group_name_H-M 'P 4/m m m'
_symmetry_Int_Tables_number 123
_symmetry_space_group_name_Hall '-P 4 2'
_cell_length_a 5.020
_cell_length_b 5.020
_cell_length_c 4.855
_cell_angle_alpha 90.00
_cell_angle_beta 90.00
_cell_angle_gamma 90.00
loop_
_atom_site_label
_atom_site_type_symbol
_atom_site_fract_x
_atom_site_fract_y
_atom_site_fract_z
Sc1 Sc 0.000 0.000 0.000
Cu1 Cu 0.500 0.500 0.500
P1 P 0.000 0.500 0.000
Cl1 Cl 0.000 0.000 0.500
# **ΔE_f (raw)**: 27 kJ/mol of atoms
# **ρ**: 2.79 g cm⁻³
# **Fermi-level density of states**: 0.7868 states/eV/atom


# ScCuPCl2 | the Alexandria database | PBE | optimized geometry
data_ScCuPCl2
_symmetry_space_group_name_H-M 'P 4/m m m'
_symmetry_Int_Tables_number 123
_symmetry_space_group_name_Hall '-P 4 2'
_cell_length_a 4.478
_cell_length_b 4.478
_cell_length_c 5.030
_cell_angle_alpha 90.00
_cell_angle_beta 90.00
_cell_angle_gamma 90.00
loop_
_atom_site_label
_atom_site_type_symbol
_atom_site_fract_x
_atom_site_fract_y
_atom_site_fract_z
Sc1 Sc 0.000 0.000 0.000
Cu1 Cu 0.500 0.500 0.500
P1 P 0.500 0.500 0.000
Cl1 Cl 0.000 0.500 0.500
# **ΔE_f (raw)**: -23 kJ/mol of atoms
# **ρ**: 3.46 g cm⁻³
# **Fermi-level density of states**: 0.6050 states/eV/atom


# ScCuPCl2 | the Alexandria database | PBE | optimized geometry
data_ScCuPCl2
_symmetry_space_group_name_H-M 'P 4/m m m'
_symmetry_Int_Tables_number 123
_symmetry_space_group_name_Hall '-P 4 2'
_cell_length_a 4.804
_cell_length_b 4.804
_cell_length_c 5.427
_cell_angle_alpha 90.00
_cell_angle_beta 90.00
_cell_angle_gamma 90.00
loop_
_atom_site_label
_atom_site_type_symbol
_atom_site_fract_x
_atom_site_fract_y
_atom_site_fract_z
Sc1 Sc 0.000 0.000 0.000
Cu1 Cu 0.500 0.500 0.500
P1 P 0.000 0.000 0.500
Cl1 Cl 0.000 0.500 0.000
# **ΔE_f (raw)**: -36 kJ/mol of atoms
# **ρ**: 2.79 g cm⁻³
# **Fermi-level density of states**: 0.5611 states/eV/atom


# CuP4Se3Cl | the Alexandria database | PBE | optimized geometry
data_CuP4Se3Cl
_symmetry_space_group_name_H-M 'P 1 21/c 1'
_symmetry_Int_Tables_number 14
_cell_length_a 12.907
_cell_length_b 11.962
_cell_length_c 6.760
_cell_angle_alpha 90.00
_cell_angle_beta 99.87
_cell_angle_gamma 90.00
loop_
_symmetry_equiv_pos_as_xyz
'x,y,z'
'-x,-y,-z'
'-x,y+1/2,-z+1/2'
'x,-y+1/2,z+1/2'
loop_
_atom_site_label
_atom_site_type_symbol
_atom_site_fract_x
_atom_site_fract_y
_atom_site_fract_z
Cu1 Cu 0.018 0.153 0.275
P1 P 0.136 0.572 0.184
P2 P 0.154 0.052 0.445
P3 P 0.210 0.626 0.922
P4 P 0.392 0.024 0.765
Se1 Se 0.268 0.538 0.442
Se2 Se 0.297 0.155 0.569
Se3 Se 0.385 0.619 0.038
Cl1 Cl 0.028 0.175 0.939
# **ΔE_f (raw)**: -18 kJ/mol of atoms
# **ρ**: 2.97 g cm⁻³
# **Fermi-level density of states**: 0.0000 states/eV/atom


# CuPSeCl2 | the Alexandria database | PBE | optimized geometry
data_CuPSeCl2
_symmetry_space_group_name_H-M 'P 4/m m m'
_symmetry_Int_Tables_number 123
_symmetry_space_group_name_Hall '-P 4 2'
_cell_length_a 4.469
_cell_length_b 4.469
_cell_length_c 5.034
_cell_angle_alpha 90.00
_cell_angle_beta 90.00
_cell_angle_gamma 90.00
loop_
_atom_site_label
_atom_site_type_symbol
_atom_site_fract_x
_atom_site_fract_y
_atom_site_fract_z
Cu1 Cu 0.000 0.000 0.000
P1 P 0.000 0.000 0.500
Se1 Se 0.500 0.500 0.500
Cl1 Cl 0.000 0.500 0.000
# **ΔE_f (raw)**: 42 kJ/mol of atoms
# **ρ**: 4.04 g cm⁻³
# **Fermi-level density of states**: 1.1573 states/eV/atom


# CuSiPCl2 | the Alexandria database | PBE | optimized geometry
data_CuSiPCl2
_symmetry_space_group_name_H-M 'P 4/m m m'
_symmetry_Int_Tables_number 123
_symmetry_space_group_name_Hall '-P 4 2'
_cell_length_a 4.555
_cell_length_b 4.555
_cell_length_c 4.906
_cell_angle_alpha 90.00
_cell_angle_beta 90.00
_cell_angle_gamma 90.00
loop_
_atom_site_label
_atom_site_type_symbol
_atom_site_fract_x
_atom_site_fract_y
_atom_site_fract_z
Cu1 Cu 0.000 0.000 0.000
Si1 Si 0.500 0.500 0.500
P1 P 0.500 0.500 0.000
Cl1 Cl 0.000 0.500 0.500
# **ΔE_f (raw)**: 40 kJ/mol of atoms
# **ρ**: 3.16 g cm⁻³
# **Fermi-level density of states**: 0.6105 states/eV/atom


# SmCuPCl | the Alexandria database | PBE | optimized geometry
data_SmCuPCl
_symmetry_space_group_name_H-M 'R -3 m'
_symmetry_Int_Tables_number 166
_symmetry_space_group_name_Hall '-R 3 2"'
_cell_length_a 4.0127
_cell_length_b 4.0127
_cell_length_c 39.0698
_cell_angle_alpha 90.00
_cell_angle_beta 90.00
_cell_angle_gamma 120.00
loop_
_atom_site_label
_atom_site_type_symbol
_atom_site_fract_x
_atom_site_fract_y
_atom_site_fract_z
Sm1 Sm 0.0000 0.0000 0.0791
Cu1 Cu 0.0000 0.0000 0.3104
P1 P 0.0000 0.0000 0.3721
Cl1 Cl 0.0000 0.0000 0.2109
# **ΔE_f (raw)**: -128 kJ/mol of atoms
# **ρ**: 5.13 g cm⁻³


# CuSnP2Cl | the Alexandria database | PBE | optimized geometry
data_CuSnP2Cl
_symmetry_space_group_name_H-M 'P 4/m m m'
_symmetry_Int_Tables_number 123
_symmetry_space_group_name_Hall '-P 4 2'
_cell_length_a 5.090
_cell_length_b 5.090
_cell_length_c 5.142
_cell_angle_alpha 90.00
_cell_angle_beta 90.00
_cell_angle_gamma 90.00
loop_
_atom_site_label
_atom_site_type_symbol
_atom_site_fract_x
_atom_site_fract_y
_atom_site_fract_z
Cu1 Cu 0.000 0.000 0.000
Sn1 Sn 0.500 0.500 0.500
P1 P 0.000 0.500 0.500
Cl1 Cl 0.500 0.500 0.000
# **ΔE_f (raw)**: 94 kJ/mol of atoms
# **ρ**: 3.49 g cm⁻³
# **Fermi-level density of states**: 0.6365 states/eV/atom


# CuSnP2Cl | the Alexandria database | PBE | optimized geometry
data_CuSnP2Cl
_symmetry_space_group_name_H-M 'P 4/m m m'
_symmetry_Int_Tables_number 123
_symmetry_space_group_name_Hall '-P 4 2'
_cell_length_a 4.420
_cell_length_b 4.420
_cell_length_c 5.529
_cell_angle_alpha 90.00
_cell_angle_beta 90.00
_cell_angle_gamma 90.00
loop_
_atom_site_label
_atom_site_type_symbol
_atom_site_fract_x
_atom_site_fract_y
_atom_site_fract_z
Cu1 Cu 0.000 0.000 0.000
Sn1 Sn 0.500 0.500 0.500
P1 P 0.000 0.500 0.000
Cl1 Cl 0.000 0.000 0.500
# **ΔE_f (raw)**: 38 kJ/mol of atoms
# **ρ**: 4.30 g cm⁻³
# **Fermi-level density of states**: 0.6842 states/eV/atom


# SrCuP2Cl | the Alexandria database | PBE | optimized geometry
data_SrCuP2Cl
_symmetry_space_group_name_H-M 'P 4/m m m'
_symmetry_Int_Tables_number 123
_symmetry_space_group_name_Hall '-P 4 2'
_cell_length_a 4.379
_cell_length_b 4.379
_cell_length_c 6.040
_cell_angle_alpha 90.00
_cell_angle_beta 90.00
_cell_angle_gamma 90.00
loop_
_atom_site_label
_atom_site_type_symbol
_atom_site_fract_x
_atom_site_fract_y
_atom_site_fract_z
Sr1 Sr 0.000 0.000 0.000
Cu1 Cu 0.500 0.500 0.500
P1 P 0.000 0.500 0.500
Cl1 Cl 0.500 0.500 0.000
# **ΔE_f (raw)**: -40 kJ/mol of atoms
# **ρ**: 3.56 g cm⁻³
# **Fermi-level density of states**: 0.7896 states/eV/atom